1.
Density functional theory data (GGA-PBE) for crystalline MnSnPt at its relaxed geometry.

Properties
The calculation puts the theoretical density at 10187 kg/m³. The energy of formation from the pure elements is -0.339 eV per atom.

Structure (CIF):
```
data_MnSnPt
_chemical_formula_sum 'Mn4 Sn4 Pt4'
_cell_length_a 6.218
_cell_length_b 6.218
_cell_length_c 6.218
_cell_angle_alpha 90.00
_cell_angle_beta 90.00
_cell_angle_gamma 90.00
_space_group_name_H-M_alt 'F -4 3 m'
_space_group_IT_number 216
_space_group_name_Hall 'F -4 2 3'
loop_
_atom_site_label
_atom_site_fract_x
_atom_site_fract_y
_atom_site_fract_z
_atom_site_occupancy
Mn1 0.000 0.000 0.000 1
Sn1 0.000 0.000 0.500 1
Pt1 0.250 0.250 0.750 1
```



2.
Density functional theory data (GGA-PBE) for crystalline MnSn2Pt at its relaxed geometry.

Properties
The calculation puts the theoretical density at 10525 kg/m³. The energy of formation from the pure elements is 0.024 eV per atom.

Structure (CIF):
```
data_MnSn2Pt
_chemical_formula_sum 'Mn4 Sn8 Pt4'
_cell_length_a 6.751
_cell_length_b 6.751
_cell_length_c 6.751
_cell_angle_alpha 90.00
_cell_angle_beta 90.00
_cell_angle_gamma 90.00
_space_group_name_H-M_alt 'F m -3 m'
_space_group_IT_number 225
_space_group_name_Hall '-F 4 2 3'
loop_
_atom_site_label
_atom_site_fract_x
_atom_site_fract_y
_atom_site_fract_z
_atom_site_occupancy
Mn1 0.000 0.000 0.000 1
Sn1 0.250 0.250 0.250 1
Pt1 0.000 0.000 0.500 1
```



3.
Density functional theory data (GGA-PBE) for crystalline MnSnPt4 at its relaxed geometry.

Properties
The calculation puts the theoretical density at 14314 kg/m³. The energy of formation from the pure elements is -0.214 eV per atom.

Structure (CIF):
```
data_MnSnPt4
_chemical_formula_sum 'Mn1 Sn1 Pt4'
_cell_length_a 3.992
_cell_length_b 3.992
_cell_length_c 6.945
_cell_angle_alpha 90.00
_cell_angle_beta 90.12
_cell_angle_gamma 90.00
_space_group_name_H-M_alt 'P 1 2/m 1'
_space_group_IT_number 10
_space_group_name_Hall '-P 2y'
loop_
_atom_site_label
_atom_site_fract_x
_atom_site_fract_y
_atom_site_fract_z
_atom_site_occupancy
Mn1 0.000 0.000 0.000 1
Sn1 0.500 0.500 0.500 1
Pt1 0.000 0.500 0.234 1
Pt2 0.500 0.000 0.234 1
```



4.
Density functional theory data (GGA-PBE) for crystalline MnSnPt at its relaxed geometry.

Properties
The calculation puts the theoretical density at 11568 kg/m³. The energy of formation from the pure elements is -0.170 eV per atom.

Structure (CIF):
```
data_MnSnPt
_chemical_formula_sum 'Mn2 Sn2 Pt2'
_cell_length_a 3.553
_cell_length_b 3.553
_cell_length_c 8.385
_cell_angle_alpha 90.00
_cell_angle_beta 90.00
_cell_angle_gamma 90.00
_space_group_name_H-M_alt 'I 4 m m'
_space_group_IT_number 107
_space_group_name_Hall 'I 4 -2'
loop_
_atom_site_label
_atom_site_fract_x
_atom_site_fract_y
_atom_site_fract_z
_atom_site_occupancy
Mn1 0.000 0.000 0.000 1
Sn1 0.000 0.000 0.677 1
Pt1 0.000 0.000 0.347 1
```



5.
Density functional theory data (GGA-PBE) for crystalline Mn2SnPt5 at its relaxed geometry.

Properties
The calculation puts the theoretical density at 15625 kg/m³. The energy of formation from the pure elements is -0.413 eV per atom.

Structure (CIF):
```
data_Mn2SnPt5
_chemical_formula_sum 'Mn4 Sn2 Pt10'
_cell_length_a 5.644
_cell_length_b 11.095
_cell_length_c 4.087
_cell_angle_alpha 90.00
_cell_angle_beta 90.00
_cell_angle_gamma 90.00
_space_group_name_H-M_alt 'P b a m'
_space_group_IT_number 55
_space_group_name_Hall '-P 2 2ab'
loop_
_atom_site_label
_atom_site_fract_x
_atom_site_fract_y
_atom_site_fract_z
_atom_site_occupancy
Mn1 0.204 0.138 0.000 1
Sn1 0.000 0.500 0.500 1
Pt1 0.000 0.000 0.500 1
Pt2 0.039 0.747 0.500 1
Pt3 0.226 0.382 0.000 1
```



6.
Density functional theory data (GGA-PBE) for crystalline MnSnPt6 at its relaxed geometry.

Properties
The calculation puts the theoretical density at 17485 kg/m³. The energy of formation from the pure elements is -0.366 eV per atom.

Structure (CIF):
```
data_MnSnPt6
_chemical_formula_sum 'Mn1 Sn1 Pt6'
_cell_length_a 3.995
_cell_length_b 3.995
_cell_length_c 7.999
_cell_angle_alpha 90.00
_cell_angle_beta 90.00
_cell_angle_gamma 90.00
_space_group_name_H-M_alt 'P 4/m m m'
_space_group_IT_number 123
_space_group_name_Hall '-P 4 2'
loop_
_atom_site_label
_atom_site_fract_x
_atom_site_fract_y
_atom_site_fract_z
_atom_site_occupancy
Mn1 0.000 0.000 0.000 1
Sn1 0.000 0.000 0.500 1
Pt1 0.000 0.500 0.240 1
Pt2 0.500 0.500 0.000 1
Pt3 0.500 0.500 0.500 1
```



7.
Density functional theory data (GGA-PBE) for crystalline Mn2SnPt9 at its relaxed geometry.

Properties
The calculation puts the theoretical density at 17492 kg/m³. The energy of formation from the pure elements is -0.363 eV per atom.

Structure (CIF):
```
data_Mn2SnPt9
_chemical_formula_sum 'Mn2 Sn1 Pt9'
_cell_length_a 3.977
_cell_length_b 3.977
_cell_length_c 11.909
_cell_angle_alpha 90.00
_cell_angle_beta 90.00
_cell_angle_gamma 90.00
_space_group_name_H-M_alt 'P 4/m m m'
_space_group_IT_number 123
_space_group_name_Hall '-P 4 2'
loop_
_atom_site_label
_atom_site_fract_x
_atom_site_fract_y
_atom_site_fract_z
_atom_site_occupancy
Mn1 0.000 0.000 0.162 1
Sn1 0.000 0.000 0.500 1
Pt1 0.000 0.500 0.000 1
Pt2 0.000 0.500 0.324 1
Pt3 0.500 0.500 0.163 1
Pt4 0.500 0.500 0.500 1
```



8.
Density functional theory data (GGA-PBE) for crystalline Mn3SnPt at its relaxed geometry.

Properties
The calculation puts the theoretical density at 3314 kg/m³. The energy of formation from the pure elements is 2.189 eV per atom.

Structure (CIF):
```
data_Mn3SnPt
_chemical_formula_sum 'Mn3 Sn1 Pt1'
_cell_length_a 6.213
_cell_length_b 6.213
_cell_length_c 6.213
_cell_angle_alpha 90.00
_cell_angle_beta 90.00
_cell_angle_gamma 90.00
_space_group_name_H-M_alt 'P m -3 m'
_space_group_IT_number 221
_space_group_name_Hall '-P 4 2 3'
loop_
_atom_site_label
_atom_site_fract_x
_atom_site_fract_y
_atom_site_fract_z
_atom_site_occupancy
Mn1 0.000 0.000 0.500 1
Sn1 0.000 0.000 0.000 1
Pt1 0.500 0.500 0.500 1
```